Density functional theory data (PBE) for Li2LaSiRh after structural relaxation.

a = 4.6557 Å, b = 4.6557 Å, c = 4.5775 Å
α = 90.00°, β = 90.00°, γ = 90.00°
Atoms (fractional coordinates):
Si1 0.0000 0.0000 0.5000
Li1 0.0000 0.5000 0.0000
Li2 0.5000 0.0000 0.0000
Rh1 0.0000 0.0000 0.0000
La1 0.5000 0.5000 0.5000

## Properties
The uncorrected formation energy is -0.3601 eV per atom.